LaNdSb2Se2: relaxed, PBE.

```
data_LaNdSb2Se2
_chemical_formula_sum 'La1 Nd1 Sb2 Se2'
_symmetry_space_group_name_H-M 'P 4 m m'
_symmetry_Int_Tables_number 99
_cell_length_a 4.252
_cell_length_b 4.252
_cell_length_c 9.199
_cell_angle_alpha 90.00
_cell_angle_beta 90.00
_cell_angle_gamma 90.00
loop_
_symmetry_equiv_pos_as_xyz
'x,y,z'
'-y,x,z'
'-x,-y,z'
'y,-x,z'
'-x,y,z'
'y,x,z'
'x,-y,z'
'-y,-x,z'
loop_
_atom_site_label
_atom_site_type_symbol
_atom_site_fract_x
_atom_site_fract_y
_atom_site_fract_z
_atom_site_occupancy
La1 La 0.000 0.000 0.000 1
Nd1 Nd 0.500 0.500 0.406 1
Sb1 Sb 0.000 0.500 0.699 1
Se1 Se 0.000 0.000 0.333 1
Se2 Se 0.500 0.500 0.073 1
```

Computed properties:
Its total energy is -33.65 eV for the cell shown. Its magnetization is 0.00 μB/f.u.

---

Nd2SmAl7Ag2: relaxed, PBE.

```
data_Nd2SmAl7Ag2
_chemical_formula_sum 'Nd6 Sm3 Al21 Ag6'
_symmetry_space_group_name_H-M 'R -3 m'
_symmetry_Int_Tables_number 166
_symmetry_space_group_name_Hall '-R 3 2"'
_cell_length_a 5.6380
_cell_length_b 5.6380
_cell_length_c 26.6895
_cell_angle_alpha 90.00
_cell_angle_beta 90.00
_cell_angle_gamma 120.00
loop_
_atom_site_label
_atom_site_type_symbol
_atom_site_fract_x
_atom_site_fract_y
_atom_site_fract_z
_atom_site_occupancy
Nd1 Nd 0.0000 0.0000 0.1417 1
Sm1 Sm 0.0000 0.0000 0.0000 1
Al1 Al 0.0000 0.0000 0.5000 1
Al2 Al 0.0077 0.5038 0.9176 1
Ag1 Ag 0.0000 0.0000 0.3360 1
```

Computed properties:
Its total energy is -154.82 eV for the cell shown. Its magnetization is 0.00 μB/f.u.

---

MoCl2: relaxed, PBE.

```
data_MoCl2
_chemical_formula_sum 'Mo2 Cl4'
_symmetry_space_group_name_H-M 'P 42/m n m'
_symmetry_Int_Tables_number 136
_symmetry_space_group_name_Hall '-P 4n 2n'
_cell_length_a 6.092
_cell_length_b 6.092
_cell_length_c 3.231
_cell_angle_alpha 90.00
_cell_angle_beta 90.00
_cell_angle_gamma 90.00
loop_
_atom_site_label
_atom_site_type_symbol
_atom_site_fract_x
_atom_site_fract_y
_atom_site_fract_z
_atom_site_occupancy
Mo1 Mo 0.000 0.000 0.000 1
Cl1 Cl 0.216 0.216 0.500 1
```

Computed properties:
The energy above the most stable polymorph in this dataset comes out at 640 meV/atom. Its magnetization is 1.29 μB/f.u.